# 1
# MgTaGaFe

Crystalline MgTaGaFe at its relaxed geometry (PBE-GGA, OQMD).

Calculated values
* energy: -6.169 eV/atom
* ΔE to the lowest computed polymorph: 0.01 eV/f.u.
* spin magnetization: 0.136 μB per atom
* V: 15.19 Å³ per atom

Cell lengths 4.4131, 4.4131, 4.4131 Å; angles 60.00, 60.00, 60.00 degrees
With the nearest neighbours (Å) after each atom.
Fractional coordinates of all 4 atoms:
Mg  0.0000  0.0000  0.0000  4 Fe 2.70, 4 Ga 2.70
Ta  0.5000  0.5000  0.5000  4 Fe 2.70, 4 Ga 2.70
Ga  0.7500  0.7500  0.7500  4 Ta 2.70, 4 Mg 2.70
Fe  0.2500  0.2500  0.2500  4 Ta 2.70, 4 Mg 2.70

# 2
# MgTaGaFe

Crystalline MgTaGaFe at its relaxed geometry (PBE-GGA, OQMD).

Calculated values
* energy: -6.171 eV/atom
* ΔE to the lowest computed polymorph: 0.00 eV/f.u.
* spin magnetization: 0.001 μB per atom
* V: 14.50 Å³ per atom

Cell lengths 4.3453, 4.3453, 4.3453 Å; angles 60.00, 60.00, 60.00 degrees
With the nearest neighbours (Å) after each atom.
Fractional coordinates of all 4 atoms:
Mg  0.0000  0.0000  0.0000  4 Ga 2.66, 4 Ta 2.66
Ta  0.2500  0.2500  0.2500  4 Fe 2.66, 4 Mg 2.66
Ga  0.7500  0.7500  0.7500  4 Fe 2.66, 4 Mg 2.66
Fe  0.5000  0.5000  0.5000  4 Ta 2.66, 4 Ga 2.66